A plane-wave DFT calculation with PBE was carried out for a relaxed structure of CaPmInBr6.

abc: 7.5379 7.5379 14.2689
angles: 90.00 90.00 120.00
With the nearest neighbours (Å) after each atom.
Positions (direct):
1 Ca 0.3333 0.6667 0.2500  6 Br 2.92
2 Ca 0.6667 0.3333 0.7500  6 Br 2.92
3 Pm 0.6667 0.3333 0.2500  6 Br 2.89
4 Pm 0.3333 0.6667 0.7500  6 Br 2.89
5 In 0.0000 0.0000 0.0000  6 Br 3.37
6 In 0.0000 0.0000 0.5000  6 Br 3.37
7 Br 0.6336 0.6308 0.1344  1 Pm 2.89, 1 Ca 2.92
8 Br 0.9973 0.3664 0.1344  1 Pm 2.89, 1 Ca 2.92
9 Br 0.3664 0.9973 0.6344  1 Pm 2.89, 1 Ca 2.92
10 Br 0.0027 0.6336 0.8656  1 Pm 2.89, 1 Ca 2.92
11 Br 0.3692 0.3664 0.3656  1 Pm 2.89, 1 Ca 2.92
12 Br 0.9973 0.6308 0.3656  1 Pm 2.89, 1 Ca 2.92
13 Br 0.6308 0.9973 0.8656  1 Pm 2.89, 1 Ca 2.92
14 Br 0.6336 0.0027 0.3656  1 Pm 2.89, 1 Ca 2.92
15 Br 0.0027 0.3692 0.6344  1 Pm 2.89, 1 Ca 2.92
16 Br 0.3692 0.0027 0.1344  1 Pm 2.89, 1 Ca 2.92
17 Br 0.6308 0.6336 0.6344  1 Pm 2.89, 1 Ca 2.92
18 Br 0.3664 0.3692 0.8656  1 Pm 2.89, 1 Ca 2.92

* electronic total energy: -3.840 eV per atom
* space-group type: P-31c (163)
* energy relative to the elements, uncorrected: -161 kJ per mole of atoms